CaGaSe2: relaxed, PBE-GGA.

Structure (POSCAR):
```
CaGaSe2
1.0
-3.1044 3.1044 6.6933
3.1044 -3.1044 6.6933
3.1044 3.1044 -6.6933
Ca Ga Se
2 2 4
Direct
0.0000 0.0000 0.0000 Ca
0.7500 0.2500 0.5000 Ca
0.2500 0.7500 0.5000 Ga
0.5000 0.5000 0.0000 Ga
0.1598 0.6250 0.0348 Se
0.3750 0.4098 0.5348 Se
0.5902 0.1250 0.9652 Se
0.8750 0.8402 0.4652 Se
```

Results
For the energy relative to the elements, uncorrected, the calculation gives -1.00 eV per atom. The symmetry is I-42d. As for the total magnetic moment: 0.00 Bohr magnetons per cell.